# BiHRh2Au (PBE-GGA, optimized geometry)
# VASP energy, eV/atom: -4.93
# V, A^3/atom: 14.8
# M_tot, Bohr magnetons per cell: 0.0
data_BiHRh2Au
_chemical_formula_sum 'Bi1 H1 Rh2 Au1'
_space_group_name_H-M_alt 'P 4/m m m'
_space_group_IT_number 123
_space_group_name_Hall '-P 4 2'
_cell_length_a 4.2632
_cell_length_b 4.2632
_cell_length_c 4.0666
_cell_angle_alpha 90.00
_cell_angle_beta 90.00
_cell_angle_gamma 90.00
loop_
_atom_site_label
_atom_site_type_symbol
_atom_site_fract_x
_atom_site_fract_y
_atom_site_fract_z
_atom_site_occupancy
Bi1 Bi 0.0000 0.0000 0.0000 1
H1 H 0.5000 0.5000 0.5000 1
Rh1 Rh 0.0000 0.5000 0.5000 1
Au1 Au 0.5000 0.5000 0.0000 1



# Bi2HRhAu (PBE-GGA, optimized geometry)
# VASP energy, eV/atom: -4.29
# V, A^3/atom: 18.8
# M_tot, Bohr magnetons per cell: 0.0
data_Bi2HRhAu
_chemical_formula_sum 'Bi2 H1 Rh1 Au1'
_space_group_name_H-M_alt 'P 4/m m m'
_space_group_IT_number 123
_space_group_name_Hall '-P 4 2'
_cell_length_a 5.2284
_cell_length_b 5.2284
_cell_length_c 3.4451
_cell_angle_alpha 90.00
_cell_angle_beta 90.00
_cell_angle_gamma 90.00
loop_
_atom_site_label
_atom_site_type_symbol
_atom_site_fract_x
_atom_site_fract_y
_atom_site_fract_z
_atom_site_occupancy
Bi1 Bi 0.0000 0.5000 0.0000 1
H1 H 0.0000 0.0000 0.0000 1
Rh1 Rh 0.0000 0.0000 0.5000 1
Au1 Au 0.5000 0.5000 0.5000 1



# BiSbHAu (PBE-GGA, optimized geometry)
# VASP energy, eV/atom: -3.41
# V, A^3/atom: 22.2
# M_tot, Bohr magnetons per cell: 0.0
data_BiSbHAu
_chemical_formula_sum 'Bi2 Sb2 H2 Au2'
_space_group_name_H-M_alt 'A m m 2'
_space_group_IT_number 38
_cell_length_a 3.1409
_cell_length_b 4.1193
_cell_length_c 13.7310
_cell_angle_alpha 90.00
_cell_angle_beta 90.00
_cell_angle_gamma 90.00
loop_
_space_group_symop_operation_xyz
'x,y,z'
'-x,-y,z'
'-x,y,z'
'x,-y,z'
'x,y+1/2,z+1/2'
'-x,-y+1/2,z+1/2'
'-x,y+1/2,z+1/2'
'x,-y+1/2,z+1/2'
loop_
_atom_site_label
_atom_site_type_symbol
_atom_site_fract_x
_atom_site_fract_y
_atom_site_fract_z
_atom_site_occupancy
Bi1 Bi 0.0000 0.0000 0.0000 1
Sb1 Sb 0.5000 0.0000 0.2603 1
H1 H 0.5000 0.0000 0.3921 1
Au1 Au 0.5000 0.0000 0.6209 1



# Bi2SbHAu (PBE-GGA, optimized geometry)
# VASP energy, eV/atom: -3.56
# V, A^3/atom: 23.9
# M_tot, Bohr magnetons per cell: 0.0
data_Bi2SbHAu
_chemical_formula_sum 'Bi2 Sb1 H1 Au1'
_space_group_name_H-M_alt 'P 4/m m m'
_space_group_IT_number 123
_space_group_name_Hall '-P 4 2'
_cell_length_a 5.7977
_cell_length_b 5.7977
_cell_length_c 3.5614
_cell_angle_alpha 90.00
_cell_angle_beta 90.00
_cell_angle_gamma 90.00
loop_
_atom_site_label
_atom_site_type_symbol
_atom_site_fract_x
_atom_site_fract_y
_atom_site_fract_z
_atom_site_occupancy
Bi1 Bi 0.0000 0.5000 0.0000 1
Sb1 Sb 0.0000 0.0000 0.5000 1
H1 H 0.5000 0.5000 0.5000 1
Au1 Au 0.5000 0.5000 0.0000 1



# SiBi2HAu (PBE-GGA, optimized geometry)
# VASP energy, eV/atom: -3.73
# V, A^3/atom: 21.1
# M_tot, Bohr magnetons per cell: 0.0
data_SiBi2HAu
_chemical_formula_sum 'Si1 Bi2 H1 Au1'
_space_group_name_H-M_alt 'P 4/m m m'
_space_group_IT_number 123
_space_group_name_Hall '-P 4 2'
_cell_length_a 5.6429
_cell_length_b 5.6429
_cell_length_c 3.3168
_cell_angle_alpha 90.00
_cell_angle_beta 90.00
_cell_angle_gamma 90.00
loop_
_atom_site_label
_atom_site_type_symbol
_atom_site_fract_x
_atom_site_fract_y
_atom_site_fract_z
_atom_site_occupancy
Si1 Si 0.0000 0.0000 0.0000 1
Bi1 Bi 0.0000 0.5000 0.0000 1
H1 H 0.0000 0.0000 0.5000 1
Au1 Au 0.5000 0.5000 0.5000 1



# Sn2BiHAu (PBE-GGA, optimized geometry)
# VASP energy, eV/atom: -3.64
# V, A^3/atom: 23.1
# M_tot, Bohr magnetons per cell: 0.0
data_Sn2BiHAu
_chemical_formula_sum 'Sn2 Bi1 H1 Au1'
_space_group_name_H-M_alt 'P 4/m m m'
_space_group_IT_number 123
_space_group_name_Hall '-P 4 2'
_cell_length_a 5.7506
_cell_length_b 5.7506
_cell_length_c 3.4982
_cell_angle_alpha 90.00
_cell_angle_beta 90.00
_cell_angle_gamma 90.00
loop_
_atom_site_label
_atom_site_type_symbol
_atom_site_fract_x
_atom_site_fract_y
_atom_site_fract_z
_atom_site_occupancy
Sn1 Sn 0.0000 0.5000 0.0000 1
Bi1 Bi 0.0000 0.0000 0.5000 1
H1 H 0.5000 0.5000 0.5000 1
Au1 Au 0.5000 0.5000 0.0000 1



# Sr2BiHAu (PBE-GGA, optimized geometry)
# VASP energy, eV/atom: -3.42
# V, A^3/atom: 25.8
# M_tot, Bohr magnetons per cell: 0.0
data_Sr2BiHAu
_chemical_formula_sum 'Sr2 Bi1 H1 Au1'
_space_group_name_H-M_alt 'P 4/m m m'
_space_group_IT_number 123
_space_group_name_Hall '-P 4 2'
_cell_length_a 5.6255
_cell_length_b 5.6255
_cell_length_c 4.0699
_cell_angle_alpha 90.00
_cell_angle_beta 90.00
_cell_angle_gamma 90.00
loop_
_atom_site_label
_atom_site_type_symbol
_atom_site_fract_x
_atom_site_fract_y
_atom_site_fract_z
_atom_site_occupancy
Sr1 Sr 0.0000 0.5000 0.0000 1
Bi1 Bi 0.0000 0.0000 0.5000 1
H1 H 0.5000 0.5000 0.0000 1
Au1 Au 0.5000 0.5000 0.5000 1



# Tl2BiHAu (PBE-GGA, optimized geometry)
# VASP energy, eV/atom: -2.96
# V, A^3/atom: 24.9
# M_tot, Bohr magnetons per cell: 0.0
data_Tl2BiHAu
_chemical_formula_sum 'Tl2 Bi1 H1 Au1'
_space_group_name_H-M_alt 'P 4/m m m'
_space_group_IT_number 123
_space_group_name_Hall '-P 4 2'
_cell_length_a 5.9163
_cell_length_b 5.9163
_cell_length_c 3.5500
_cell_angle_alpha 90.00
_cell_angle_beta 90.00
_cell_angle_gamma 90.00
loop_
_atom_site_label
_atom_site_type_symbol
_atom_site_fract_x
_atom_site_fract_y
_atom_site_fract_z
_atom_site_occupancy
Tl1 Tl 0.0000 0.5000 0.0000 1
Bi1 Bi 0.0000 0.0000 0.5000 1
H1 H 0.5000 0.5000 0.5000 1
Au1 Au 0.5000 0.5000 0.0000 1



# Tl2BiHAu (PBE-GGA, optimized geometry)
# VASP energy, eV/atom: -2.95
# V, A^3/atom: 24.1
# M_tot, Bohr magnetons per cell: 0.0
data_Tl2BiHAu
_chemical_formula_sum 'Tl2 Bi1 H1 Au1'
_space_group_name_H-M_alt 'P 4/m m m'
_space_group_IT_number 123
_space_group_name_Hall '-P 4 2'
_cell_length_a 5.7965
_cell_length_b 5.7965
_cell_length_c 3.5925
_cell_angle_alpha 90.00
_cell_angle_beta 90.00
_cell_angle_gamma 90.00
loop_
_atom_site_label
_atom_site_type_symbol
_atom_site_fract_x
_atom_site_fract_y
_atom_site_fract_z
_atom_site_occupancy
Tl1 Tl 0.0000 0.5000 0.0000 1
Bi1 Bi 0.0000 0.0000 0.5000 1
H1 H 0.5000 0.5000 0.0000 1
Au1 Au 0.5000 0.5000 0.5000 1



# Hf2Bi2Au (PBE-GGA, optimized geometry)
# Energy of formation from the pure elements, meV per atom: 136
# V, A^3/atom: 24.6
# M_tot, Bohr magnetons per cell: 0.0
data_Hf2Bi2Au
_chemical_formula_sum 'Hf4 Bi4 Au2'
_space_group_name_H-M_alt 'P 4/m b m'
_space_group_IT_number 127
_space_group_name_Hall '-P 4 2ab'
_cell_length_a 8.0527
_cell_length_b 8.0527
_cell_length_c 3.7870
_cell_angle_alpha 90.00
_cell_angle_beta 90.00
_cell_angle_gamma 90.00
loop_
_atom_site_label
_atom_site_type_symbol
_atom_site_fract_x
_atom_site_fract_y
_atom_site_fract_z
_atom_site_occupancy
Hf1 Hf 0.1384 0.3616 0.0000 1
Bi1 Bi 0.1577 0.6577 0.5000 1
Au1 Au 0.0000 0.0000 0.5000 1



# HfBiAu2 (PBE-GGA, optimized geometry)
# Energy of formation from the pure elements, meV per atom: -291
# V, A^3/atom: 22.1
# M_tot, Bohr magnetons per cell: 0.0
data_HfBiAu2
_chemical_formula_sum 'Hf1 Bi1 Au2'
_space_group_name_H-M_alt 'P 4/m m m'
_space_group_IT_number 123
_space_group_name_Hall '-P 4 2'
_cell_length_a 3.3479
_cell_length_b 3.3479
_cell_length_c 7.9026
_cell_angle_alpha 90.00
_cell_angle_beta 90.00
_cell_angle_gamma 90.00
loop_
_atom_site_label
_atom_site_type_symbol
_atom_site_fract_x
_atom_site_fract_y
_atom_site_fract_z
_atom_site_occupancy
Hf1 Hf 0.0000 0.0000 0.0000 1
Bi1 Bi 0.0000 0.0000 0.5000 1
Au1 Au 0.5000 0.5000 0.2141 1



# Hf4BiAu (PBE-GGA, optimized geometry)
# Energy of formation from the pure elements, meV per atom: -113
# V, A^3/atom: 22.1
# M_tot, Bohr magnetons per cell: 0.0
data_Hf4BiAu
_chemical_formula_sum 'Hf8 Bi2 Au2'
_space_group_name_H-M_alt 'P m m n'
_space_group_IT_number 59
_cell_length_a 5.0983
_cell_length_b 6.0294
_cell_length_c 8.6173
_cell_angle_alpha 90.00
_cell_angle_beta 90.00
_cell_angle_gamma 90.00
loop_
_space_group_symop_operation_xyz
'x,y,z'
'-x,-y,-z'
'-x+1/2,-y+1/2,z'
'x+1/2,y+1/2,-z'
'x+1/2,-y,-z'
'-x+1/2,y,z'
'-x,y+1/2,-z'
'x,-y+1/2,z'
loop_
_atom_site_label
_atom_site_type_symbol
_atom_site_fract_x
_atom_site_fract_y
_atom_site_fract_z
_atom_site_occupancy
Hf1 Hf 0.2500 0.0063 0.2420 1
Hf2 Hf 0.2500 0.7500 0.5853 1
Hf3 Hf 0.2500 0.7500 0.9251 1
Bi1 Bi 0.2500 0.2500 0.6020 1
Au1 Au 0.2500 0.2500 0.9430 1



# HfBiAu2 (PBE-GGA, optimized geometry)
# Energy of formation from the pure elements, meV per atom: -81
# V, A^3/atom: 23.1
# M_tot, Bohr magnetons per cell: 0.0
data_HfBiAu2
_chemical_formula_sum 'Hf4 Bi4 Au8'
_space_group_name_H-M_alt 'I -4 2 d'
_space_group_IT_number 122
_space_group_name_Hall 'I -4 2bw'
_cell_length_a 7.8544
_cell_length_b 7.8544
_cell_length_c 5.9911
_cell_angle_alpha 90.00
_cell_angle_beta 90.00
_cell_angle_gamma 90.00
loop_
_atom_site_label
_atom_site_type_symbol
_atom_site_fract_x
_atom_site_fract_y
_atom_site_fract_z
_atom_site_occupancy
Hf1 Hf 0.0000 0.0000 0.0000 1
Bi1 Bi 0.0000 0.0000 0.5000 1
Au1 Au 0.2343 0.7500 0.1250 1